Material: PmPr2Nd3Te6
Method: DFT, PBE
State: relaxed

Final energy ... -0.3956 Ry/atom
Magnetic moment ... 0.0 μB per formula unit

Structure (CIF):
```
data_PmPr2Nd3Te6
_chemical_formula_sum 'Pm2 Pr4 Nd6 Te12'
_cell_length_a 19.6059
_cell_length_b 4.4845
_cell_length_c 9.0528
_cell_angle_alpha 90.00
_cell_angle_beta 103.04
_cell_angle_gamma 90.00
_space_group_name_H-M_alt 'C 1 2/m 1'
_space_group_IT_number 12
_space_group_name_Hall '-C 2y'
loop_
_atom_site_label
_atom_site_type_symbol
_atom_site_fract_x
_atom_site_fract_y
_atom_site_fract_z
Pm1 Pm 0.0000 0.0000 0.0000
Pr1 Pr 0.1671 0.5000 0.3338
Nd1 Nd 0.0000 0.0000 0.5000
Nd2 Nd 0.1682 0.5000 0.8334
Te1 Te 0.0011 0.5000 0.7523
Te2 Te 0.1653 0.0000 0.0806
Te3 Te 0.1658 0.0000 0.5845
```


Material: V7C3N
Method: DFT, PBE
State: relaxed

Final energy ... -0.6853 Ry/atom
Magnetic moment ... 0.0 μB per formula unit

Structure (CIF):
```
data_V7C3N
_chemical_formula_sum 'V14 C6 N2'
_cell_length_a 6.4629
_cell_length_b 7.6894
_cell_length_c 5.0816
_cell_angle_alpha 90.00
_cell_angle_beta 110.61
_cell_angle_gamma 90.00
_space_group_name_H-M_alt 'C 1 2/m 1'
_space_group_IT_number 12
_space_group_name_Hall '-C 2y'
loop_
_atom_site_label
_atom_site_type_symbol
_atom_site_fract_x
_atom_site_fract_y
_atom_site_fract_z
V1 V 0.0000 0.0000 0.0000
V2 V 0.1758 0.3133 0.7485
V3 V 0.1864 0.5000 0.2591
C1 C 0.0000 0.2898 0.0000
C2 C 0.0000 0.5000 0.5000
N1 N 0.0000 0.0000 0.5000
```


Material: RbSbP
Method: DFT, PBE
State: relaxed

Final energy ... -0.2723 Ry/atom
Polymorph energy (0 for the lowest one) ... 78.9 meV per atom
Magnetic moment ... 0.0 μB per formula unit

Structure (CIF):
```
data_RbSbP
_chemical_formula_sum 'Rb2 Sb2 P2'
_cell_length_a 5.1282
_cell_length_b 6.5026
_cell_length_c 8.0703
_cell_angle_alpha 107.08
_cell_angle_beta 97.54
_cell_angle_gamma 106.28
_space_group_name_H-M_alt 'P -1'
_space_group_IT_number 2
_space_group_name_Hall '-P 1'
loop_
_atom_site_label
_atom_site_type_symbol
_atom_site_fract_x
_atom_site_fract_y
_atom_site_fract_z
Rb1 Rb 0.2270 0.1413 0.3023
Sb1 Sb 0.2533 0.6281 0.9578
P1 P 0.4010 0.3172 0.7607
```